First-principles (GGA+U) data for a relaxed structure of Rb3Li2MoF9, as listed in Alexandria via LeMat-Bulk.

Geometry as CIF:
```
data_Rb3Li2MoF9
_space_group_name_H-M_alt 'P -3 m 1'
_space_group_IT_number 164
_space_group_name_Hall '-P 3 2"'
_cell_length_a 6.0453
_cell_length_b 6.0453
_cell_length_c 7.7178
_cell_angle_alpha 90.00
_cell_angle_beta 90.00
_cell_angle_gamma 120.00
loop_
_atom_site_label
_atom_site_fract_x
_atom_site_fract_y
_atom_site_fract_z
_atom_site_occupancy
Rb1 0.0000 0.0000 0.0000 1
Rb2 0.3333 0.6667 0.6976 1
Li1 0.3333 0.6667 0.0958 1
Mo1 0.0000 0.0000 0.5000 1
F1 0.0000 0.5000 0.0000 1
F2 0.1572 0.3144 0.3520 1
```

Output
The calculation puts the raw total energy at -4.776 eV per atom. As for the magnetic moment: 2.00 μB/f.u.